# SrZrGe2Ir, optimized geometry, DFT PBE-GGA
data_SrZrGe2Ir
_chemical_formula_sum 'Sr1 Zr1 Ge2 Ir1'
_cell_length_a 4.920
_cell_length_b 5.213
_cell_length_c 4.920
_cell_angle_alpha 90.00
_cell_angle_beta 90.00
_cell_angle_gamma 90.00
_space_group_name_H-M_alt 'P 1'
_space_group_IT_number 1
loop_
_space_group_symop_operation_xyz
'x,y,z'
loop_
_atom_site_label
_atom_site_type_symbol
_atom_site_fract_x
_atom_site_fract_y
_atom_site_fract_z
Sr1 Sr 0.500 0.500 0.500
Ge1 Ge 0.000 0.000 0.500
Ge2 Ge 0.500 0.000 0.000
Ir1 Ir 0.000 0.000 0.000
Zr1 Zr 0.000 0.500 0.000
# symmetry = P4/mmm (123)
# total moment = 1.4 μB per cell
# ΔH_f (0 K) = 0.10 eV per atom
# raw total energy = -27.85 eV per cell

***

# TaGe2Ir, optimized geometry, DFT PBE-GGA
data_TaGe2Ir
_chemical_formula_sum 'Ta1 Ge2 Ir1'
_cell_length_a 4.467
_cell_length_b 4.467
_cell_length_c 4.467
_cell_angle_alpha 60.00
_cell_angle_beta 60.00
_cell_angle_gamma 60.00
_space_group_name_H-M_alt 'P 1'
_space_group_IT_number 1
loop_
_space_group_symop_operation_xyz
'x,y,z'
loop_
_atom_site_label
_atom_site_type_symbol
_atom_site_fract_x
_atom_site_fract_y
_atom_site_fract_z
Ge1 Ge 0.250 0.250 0.250
Ge2 Ge 0.750 0.750 0.750
Ir1 Ir 0.500 0.500 0.500
Ta1 Ta 0.000 0.000 0.000
# symmetry = Fm-3m (225)
# total moment = 0.0 μB per cell
# ΔH_f (0 K) = 0.06 eV per atom
# raw total energy = -29.72 eV per cell

***

# TaGeIr3, optimized geometry, DFT PBE-GGA
data_TaGeIr3
_chemical_formula_sum 'Ta1 Ge1 Ir3'
_cell_length_a 4.807
_cell_length_b 4.807
_cell_length_c 4.807
_cell_angle_alpha 90.00
_cell_angle_beta 90.00
_cell_angle_gamma 90.00
_space_group_name_H-M_alt 'P 1'
_space_group_IT_number 1
loop_
_space_group_symop_operation_xyz
'x,y,z'
loop_
_atom_site_label
_atom_site_type_symbol
_atom_site_fract_x
_atom_site_fract_y
_atom_site_fract_z
Ge1 Ge 0.500 0.500 0.500
Ir1 Ir 0.000 0.500 0.000
Ir2 Ir 0.000 0.000 0.500
Ir3 Ir 0.500 0.000 0.000
Ta1 Ta 0.000 0.000 0.000
# energy above the lowest structure with this stoichiometry = 0.3751 eV/atom
# symmetry = Pm-3m (221)
# total moment = 0.0 μB per cell
# ΔH_f (0 K) = 1.43 eV per atom
# raw total energy = -35.88 eV per cell

***

# Ta2GeIr2, optimized geometry, DFT PBE-GGA
data_Ta2GeIr2
_chemical_formula_sum 'Ta4 Ge2 Ir4'
_cell_length_a 7.727
_cell_length_b 7.727
_cell_length_c 2.908
_cell_angle_alpha 90.00
_cell_angle_beta 90.00
_cell_angle_gamma 90.00
_space_group_name_H-M_alt 'P 1'
_space_group_IT_number 1
loop_
_space_group_symop_operation_xyz
'x,y,z'
loop_
_atom_site_label
_atom_site_type_symbol
_atom_site_fract_x
_atom_site_fract_y
_atom_site_fract_z
Ge1 Ge 0.000 0.000 0.000
Ge2 Ge 0.500 0.500 0.000
Ir1 Ir 0.367 0.867 0.000
Ir2 Ir 0.867 0.633 0.000
Ir3 Ir 0.633 0.133 0.000
Ir4 Ir 0.133 0.367 0.000
Ta1 Ta 0.161 0.661 0.500
Ta2 Ta 0.661 0.839 0.500
Ta3 Ta 0.839 0.339 0.500
Ta4 Ta 0.339 0.161 0.500
# symmetry = P4/mbm (127)
# total moment = 0.0 μB per cell
# ΔH_f (0 K) = -0.33 eV per atom
# raw total energy = -95.41 eV per cell

***

# TaGe3Ir, optimized geometry, DFT PBE-GGA
data_TaGe3Ir
_chemical_formula_sum 'Ta1 Ge3 Ir1'
_cell_length_a 4.765
_cell_length_b 4.765
_cell_length_c 4.765
_cell_angle_alpha 90.00
_cell_angle_beta 90.00
_cell_angle_gamma 90.00
_space_group_name_H-M_alt 'P 1'
_space_group_IT_number 1
loop_
_space_group_symop_operation_xyz
'x,y,z'
loop_
_atom_site_label
_atom_site_type_symbol
_atom_site_fract_x
_atom_site_fract_y
_atom_site_fract_z
Ge1 Ge 0.000 0.500 0.000
Ge2 Ge 0.000 0.000 0.500
Ge3 Ge 0.500 0.000 0.000
Ir1 Ir 0.000 0.000 0.000
Ta1 Ta 0.500 0.500 0.500
# symmetry = Pm-3m (221)
# total moment = 2.2 μB per cell
# ΔH_f (0 K) = 1.00 eV per atom
# raw total energy = -29.55 eV per cell

***

# Ta2GeIr, optimized geometry, DFT PBE-GGA
data_Ta2GeIr
_chemical_formula_sum 'Ta4 Ge2 Ir2'
_cell_length_a 7.134
_cell_length_b 7.134
_cell_length_c 5.790
_cell_angle_alpha 51.97
_cell_angle_beta 51.97
_cell_angle_gamma 90.00
_space_group_name_H-M_alt 'P 1'
_space_group_IT_number 1
loop_
_space_group_symop_operation_xyz
'x,y,z'
loop_
_atom_site_label
_atom_site_type_symbol
_atom_site_fract_x
_atom_site_fract_y
_atom_site_fract_z
Ge1 Ge 0.500 0.500 0.000
Ge2 Ge 0.250 0.750 0.500
Ir1 Ir 0.000 0.000 0.000
Ir2 Ir 0.750 0.250 0.500
Ta1 Ta 0.634 0.125 0.250
Ta2 Ta 0.116 0.625 0.250
Ta3 Ta 0.375 0.366 0.750
Ta4 Ta 0.875 0.884 0.750
# symmetry = I-42d (122)
# total moment = 0.0 μB per cell
# ΔH_f (0 K) = 0.11 eV per atom
# raw total energy = -73.48 eV per cell

***

# TaGe2Ir, optimized geometry, DFT PBE-GGA
data_TaGe2Ir
_chemical_formula_sum 'Ta2 Ge4 Ir2'
_cell_length_a 3.945
_cell_length_b 3.945
_cell_length_c 9.448
_cell_angle_alpha 77.95
_cell_angle_beta 77.95
_cell_angle_gamma 90.00
_space_group_name_H-M_alt 'P 1'
_space_group_IT_number 1
loop_
_space_group_symop_operation_xyz
'x,y,z'
loop_
_atom_site_label
_atom_site_type_symbol
_atom_site_fract_x
_atom_site_fract_y
_atom_site_fract_z
Ge1 Ge 0.644 0.125 0.250
Ge2 Ge 0.106 0.625 0.250
Ge3 Ge 0.375 0.356 0.750
Ge4 Ge 0.875 0.894 0.750
Ir1 Ir 0.000 0.000 0.000
Ir2 Ir 0.750 0.250 0.500
Ta1 Ta 0.500 0.500 0.000
Ta2 Ta 0.250 0.750 0.500
# symmetry = I-42d (122)
# total moment = 0.0 μB per cell
# ΔH_f (0 K) = 0.09 eV per atom
# raw total energy = -59.21 eV per cell

***

# TaGeIr, optimized geometry, DFT PBE-GGA
data_TaGeIr
_chemical_formula_sum 'Ta1 Ge1 Ir1'
_cell_length_a 2.893
_cell_length_b 4.335
_cell_length_c 4.335
_cell_angle_alpha 120.00
_cell_angle_beta 90.00
_cell_angle_gamma 90.00
_space_group_name_H-M_alt 'P 1'
_space_group_IT_number 1
loop_
_space_group_symop_operation_xyz
'x,y,z'
loop_
_atom_site_label
_atom_site_type_symbol
_atom_site_fract_x
_atom_site_fract_y
_atom_site_fract_z
Ge1 Ge 0.167 0.667 0.333
Ir1 Ir 0.167 0.000 0.000
Ta1 Ta 0.667 0.333 0.667
# symmetry = P-6m2 (187)
# total moment = 0.0 μB per cell
# ΔH_f (0 K) = -0.50 eV per atom
# raw total energy = -26.82 eV per cell